# CsFeP2O7 PBE with a Hubbard U relaxed
# - Space-group type: P2_1/c (14)
# - V: 651.2 Å³ per cell
# - E_tot: -6.866 eV per atom
# - Total magnetization: 20.19 μB per cell
# - N(E_F): 0.000 states/eV/atom
data_CsFeP2O7
_symmetry_space_group_name_H-M 'P 1'
_symmetry_Int_Tables_number 1
_symmetry_space_group_name_Hall 'P 1'
_cell_length_a 10.135
_cell_length_b 7.815
_cell_length_c 8.514
_cell_angle_alpha 74.98
_cell_angle_beta 90.00
_cell_angle_gamma 90.00
loop_
_atom_site_label
_atom_site_fract_x
_atom_site_fract_y
_atom_site_fract_z
_atom_site_occupancy
O1 0.263 0.408 0.269 1
O2 0.496 0.518 0.235 1
O3 0.454 0.190 0.291 1
O4 0.583 0.658 0.485 1
O5 0.230 0.069 0.232 1
O6 0.763 0.592 0.231 1
O7 0.237 0.408 0.769 1
O8 0.954 0.810 0.209 1
O9 0.046 0.190 0.791 1
O10 0.900 0.822 0.495 1
O11 0.270 0.069 0.732 1
O12 0.936 0.107 0.269 1
O13 0.064 0.893 0.731 1
O14 0.564 0.107 0.769 1
O15 0.600 0.822 0.995 1
O16 0.100 0.178 0.505 1
O17 0.504 0.482 0.765 1
O18 0.737 0.592 0.731 1
O19 0.996 0.482 0.265 1
O20 0.083 0.342 0.015 1
O21 0.770 0.931 0.768 1
O22 0.436 0.893 0.231 1
O23 0.417 0.342 0.515 1
O24 0.004 0.518 0.735 1
O25 0.546 0.810 0.709 1
O26 0.730 0.931 0.268 1
O27 0.917 0.658 0.985 1
O28 0.400 0.178 0.005 1
P1 0.095 0.372 0.832 1
P2 0.125 0.079 0.681 1
P3 0.875 0.921 0.319 1
P4 0.405 0.372 0.332 1
P5 0.625 0.921 0.819 1
P6 0.905 0.628 0.168 1
P7 0.595 0.628 0.668 1
P8 0.375 0.079 0.181 1
Cs1 0.204 0.699 0.459 1
Cs2 0.296 0.699 0.959 1
Cs3 0.796 0.301 0.541 1
Cs4 0.704 0.301 0.041 1
Fe1 0.101 0.259 0.257 1
Fe2 0.899 0.741 0.743 1
Fe3 0.399 0.259 0.757 1
Fe4 0.601 0.741 0.243 1